{"formula": "PaCoAu", "functional": "PBE-GGA", "state": "relaxed", "relative_energy_mev_per_atom": 310.6, "total_magnetization_mub_per_atom": 0.000, "volume_a3_per_atom": 20.37, "formation_enthalpy_0k_mev_per_atom": -150, "lattice": [[-2.397, -0.171, -3.712], [-4.129, -1.578, 0.105], [-3.428, 2.739, -0.546]], "species": ["Co", "Pa", "Au"], "fractional_positions": [[0.250, 0.250, 0.250], [0.000, 0.000, 0.000], [0.500, 0.500, 0.500]]}